[1]
Material: BaHgTeSe2
Method: DFT, PBE
State: relaxed

Properties
- formation energy without anion corrections (eV per atom) = -0.32

a = 5.5630 Å, b = 5.5630 Å, c = 6.4046 Å
α = 90.00°, β = 90.00°, γ = 90.00°
Closest atoms and distances in Å follow each position.
Space group P4/mmm (No. 123)
Unique sites:
Ba  0.0000  0.0000  0.0000  2 Te 3.20
Hg  0.5000  0.5000  0.0000  4 Ba 3.93, 8 Se 4.24
Te  0.0000  0.0000  0.5000  4 Se 2.78
Se  0.0000  0.5000  0.5000  2 Te 2.78

=====

[2]
Material: SiAs2Ru
Method: DFT, PBE
State: relaxed

Properties
- formation energy without anion corrections (eV per atom) = 0.41

a = 4.6132 Å, b = 4.6132 Å, c = 2.9633 Å
α = 90.00°, β = 90.00°, γ = 90.00°
Closest atoms and distances in Å follow each position.
Space group P4/mmm (No. 123)
Unique sites:
Si  0.0000  0.0000  0.0000  8 As 2.74, 2 Si 2.96
As  0.0000  0.5000  0.5000  4 Ru 2.74, 4 Si 2.74, 2 As 2.96
Ru  0.5000  0.5000  0.0000  8 As 2.74, 2 Ru 2.96

=====

[3]
Material: Pr12Dy5Er2
Method: DFT, PBE
State: relaxed

Properties
- excess energy over the best structure of this formula in the dataset (meV/atom) = 0
- formation energy from the elements (eV per atom) = 0.127

a = 15.2346 Å, b = 10.7388 Å, c = 8.1530 Å
α = 90.00°, β = 94.23°, γ = 90.00°
Closest atoms and distances in Å follow each position.
Space group C2/m (No. 12)
Unique sites:
Pr  0.0555  0.0000  0.2132  3 Dy 3.39-3.68, 2 Er 3.53, 7 Pr 3.53-3.75
Pr  0.1069  0.2279  0.8847  1 Er 3.43, 4 Dy 3.48-3.63, 5 Pr 3.48-3.75
Pr  0.1288  0.5000  0.6037  2 Dy 3.45-3.77, 2 Er 3.59, 4 Pr 3.63-3.74
Pr  0.1834  0.2766  0.2923  1 Er 3.41, 4 Pr 3.48-3.63, 2 Dy 3.49-3.61
Dy  0.0000  0.5000  0.0000  6 Pr 3.51-3.90, 2 Dy 3.68
Dy  0.1565  0.0000  0.5975  7 Pr 3.39-3.77, 2 Er 3.46, 1 Dy 3.62
Dy  0.2411  0.5000  0.9873  8 Pr 3.45-3.63, 2 Dy 3.62-3.68
Er  0.0000  0.2275  0.5000  8 Pr 3.41-3.59, 2 Dy 3.46

=====

[4]
Material: ScCrGe3
Method: DFT, PBE
State: relaxed

Properties
- formation energy from the elements (eV per atom) = 0.160

a = 4.6247 Å, b = 4.6247 Å, c = 4.6247 Å
α = 90.00°, β = 90.00°, γ = 90.00°
Closest atoms and distances in Å follow each position.
Space group Pm-3m (No. 221)
Unique sites:
Sc  0.0000  0.0000  0.0000  12 Ge 3.27
Cr  0.5000  0.5000  0.5000  6 Ge 2.31
Ge  0.0000  0.5000  0.5000  2 Cr 2.31

=====

[5]
Material: NbAg3Ir
Method: DFT, PBE
State: relaxed

Properties
- excess energy over the best structure of this formula in the dataset (meV/atom) = 0
- formation energy from the elements (eV per atom) = 1.614

a = 4.9793 Å, b = 4.9793 Å, c = 4.9793 Å
α = 90.00°, β = 90.00°, γ = 90.00°
Closest atoms and distances in Å follow each position.
Space group Pm-3m (No. 221)
Unique sites:
Nb  0.0000  0.0000  0.0000  12 Ag 3.52
Ag  0.0000  0.5000  0.5000  2 Ir 2.49
Ir  0.5000  0.5000  0.5000  6 Ag 2.49

=====

[6]
Material: K4U3AgSe8
Method: DFT, PBE
State: relaxed

Properties
- formation energy without anion corrections (eV per atom) = -1.14

a = 8.4576 Å, b = 8.4576 Å, c = 23.0157 Å
α = 90.00°, β = 90.00°, γ = 120.00°
Closest atoms and distances in Å follow each position.
Space group R-3m (No. 166, hexagonal axes)
Unique sites:
K  0.0000  0.0000  0.0000  6 Se 3.27
K  0.0000  0.5000  0.0000  6 Se 3.32-3.36
U  0.0000  0.5000  0.5000  6 Se 2.87-2.91
Ag  0.0000  0.0000  0.5000  6 Se 2.97
Se  0.0000  0.0000  0.2358  3 U 2.91
Se  0.0112  0.5056  0.7652  2 U 2.87, 1 Ag 2.97

=====

[7]
Material: KCdRu
Method: DFT, PBE
State: relaxed

Properties
- excess energy over the best structure of this formula in the dataset (meV/atom) = 91
- formation energy from the elements (eV per atom) = 0.747

a = 2.9908 Å, b = 2.9908 Å, c = 15.4878 Å
α = 90.00°, β = 90.00°, γ = 90.00°
Closest atoms and distances in Å follow each position.
Space group I4mm (No. 107)
Unique sites:
K  0.0000  0.0000  0.0000  4 K 2.99
Cd  0.0000  0.0000  0.7042  4 Ru 2.87, 4 Cd 2.99
Ru  0.0000  0.0000  0.3298  4 Cd 2.87, 4 Ru 2.99

=====

[8]
Material: GdInGe2
Method: DFT, PBE
State: relaxed

Properties
- excess energy over the best structure of this formula in the dataset (meV/atom) = 0
- formation energy from the elements (eV per atom) = -0.430

a = 4.6128 Å, b = 4.6128 Å, c = 4.1355 Å
α = 90.00°, β = 90.00°, γ = 90.00°
Closest atoms and distances in Å follow each position.
Space group P4/mmm (No. 123)
Unique sites:
Gd  0.0000  0.0000  0.0000  8 Ge 3.10, 4 In 3.26
In  0.5000  0.5000  0.0000  8 Ge 3.10, 4 Gd 3.26
Ge  0.0000  0.5000  0.5000  4 In 3.10, 4 Gd 3.10, 4 Ge 3.26

=====

Number 1: density of states at the Fermi level 0.073 states/eV per atom, V 198.21 Å³/cell. Number 2: density of states at the Fermi level 0.849 states/eV per atom, V 63.06 Å³/cell. Number 3: density of states at the Fermi level 1.448 states/eV per atom, V 1330.21 Å³/cell. Number 4: density of states at the Fermi level 1.034 states/eV per atom, V 98.91 Å³/cell. Number 5: density of states at the Fermi level 1.321 states/eV per atom, V 123.45 Å³/cell. Number 6: density of states at the Fermi level 0.740 states/eV per atom, V 1425.83 Å³/cell. Number 7: density of states at the Fermi level 0.562 states/eV per atom, V 138.54 Å³/cell. Number 8: density of states at the Fermi level 0.586 states/eV per atom, V 88.00 Å³/cell.